Computed, not measured: a relaxed structure of Mg4MnAu at the PBE-GGA level of DFT.

Space-group type: F-43m, No. 216
Total magnetic moment: 4.250 μB/cell
E_form: 242 meV per atom
E_tot: -2.896 eV per atom

Cell lengths 5.556, 5.556, 5.556 Å; angles 60.00, 60.00, 60.00 degrees
Last column: magnetic moment on the atom in μB.
Atoms (fractional coordinates):
Mg 0.375 0.375 0.375  -0.01
Mn 0.750 0.750 0.750  4.03
Mg 0.375 0.875 0.375  -0.01
Mg 0.375 0.375 0.875  -0.01
Mg 0.875 0.375 0.375  -0.01
Au 0.000 0.000 0.000  0.02